[1]
Compound: Ta2BeSb
Source: the Alexandria database
Functional: PBE
Structure: relaxed

Unit cell a=4.588 b=4.588 c=4.588 alpha=60.00 beta=60.00 gamma=60.00
Fractional coordinates of all 4 atoms:
Sb: 0.500 0.500 0.500
Be: 0.000 0.000 0.000
Ta: 0.250 0.250 0.250
Ta: 0.750 0.750 0.750

## Properties
The calculation puts the density of states at the Fermi level at 5.5 states/eV per cell. For the energy above the most stable polymorph in this dataset, the calculation gives 354 meV/atom.

[2]
Compound: Ta2BeSb
Source: the Alexandria database
Functional: PBE
Structure: relaxed

Unit cell a=3.884 b=3.884 c=10.247 alpha=79.07 beta=79.07 gamma=90.00
Fractional coordinates of all 8 atoms:
Sb: 0.000 0.000 0.000
Sb: 0.750 0.250 0.500
Be: 0.500 0.500 0.000
Be: 0.250 0.750 0.500
Ta: 0.619 0.125 0.250
Ta: 0.131 0.625 0.250
Ta: 0.375 0.381 0.750
Ta: 0.875 0.869 0.750

## Properties
The calculation puts the density of states at the Fermi level at 6.2 states/eV per cell. For the energy above the most stable polymorph in this dataset, the calculation gives 464 meV/atom.

Record-wise formation energy (no corrections) values, in meV per atom: 451, 561